Model A:
A geometry-optimized InBr5 structure, computed with PBE-GGA.

Its space group is Cm, No. 8.

POSCAR file:
```
InBr5
1.0
4.937 0.410 5.809
5.262 3.688 4.122
-1.809 4.317 8.041
Br In
5 1
Direct
0.076 0.076 0.508
0.318 0.318 0.503
0.363 0.363 0.965
0.051 0.051 0.924
0.708 0.708 0.966
0.651 0.651 0.633
```


Model B:
A geometry-optimized InBr5 structure, computed with PBE-GGA.

Its space group is F-43m, No. 216.

POSCAR file:
```
InBr5
1.0
1.909 -4.976 3.412
3.272 0.895 5.343
-2.689 -1.217 5.599
Br In
5 1
Direct
0.250 0.250 0.250
0.624 0.624 0.127
0.624 0.127 0.624
0.624 0.624 0.624
0.127 0.624 0.624
0.000 0.000 0.000
```


Stability verdict: model A, ahead by 498 meV per atom


Model A:
A geometry-optimized InIrBr structure, computed with PBE-GGA.

Its space group is I4mm, No. 107.

POSCAR file:
```
InIrBr
1.0
6.282 0.003 -0.004
5.401 3.210 0.009
0.882 0.231 3.198
Ir Br In
1 1 1
Direct
0.686 0.686 0.314
0.013 0.013 0.987
0.301 0.301 0.699
```


Model B:
A geometry-optimized InIrBr structure, computed with PBE-GGA.

Its space group is P-6m2, No. 187.

POSCAR file:
```
InIrBr
1.0
4.584 0.000 0.000
-2.292 3.970 0.000
0.000 0.000 3.252
Br In Ir
1 1 1
Direct
0.000 0.000 0.834
0.667 0.333 0.333
0.333 0.667 0.833
```


Model C:
A geometry-optimized InIrBr structure, computed with PBE-GGA.

Its space group is F-43m, No. 216.

POSCAR file:
```
InIrBr
1.0
-3.410 -2.627 -1.498
0.204 -1.843 -4.163
0.622 -4.490 -0.476
In Ir Br
1 1 1
Direct
0.500 0.500 0.500
0.250 0.250 0.250
0.000 0.000 0.000
```


Stability verdict: model C, ahead by 32 meV per atom


Model A:
A geometry-optimized InIrSeBr2 structure, computed with PBE-GGA.

Its space group is P4/mmm, No. 123.

POSCAR file:
```
InIrSeBr2
1.0
5.409 0.000 0.000
0.000 5.409 0.000
0.000 0.000 4.692
Br In Ir Se
2 1 1 1
Direct
0.000 0.500 0.000
0.500 0.000 0.000
0.500 0.500 0.500
0.000 0.000 0.000
0.000 0.000 0.500
```


Model B:
A geometry-optimized InIrSeBr2 structure, computed with PBE-GGA.

Its space group is P4/mmm, No. 123.

POSCAR file:
```
InIrSeBr2
1.0
5.275 0.000 0.000
0.000 5.275 0.000
0.000 0.000 5.496
Br Se Ir In
2 1 1 1
Direct
0.500 0.000 0.000
0.000 0.500 0.000
0.000 0.000 0.500
0.500 0.500 0.500
0.000 0.000 0.000
```


Stability verdict: model A, ahead by 993 meV per atom


Model A:
A geometry-optimized KIn2Br3 structure, computed with PBE-GGA.

Its space group is Cmcm, No. 63.

POSCAR file:
```
KIn2Br3
1.0
-4.573 0.186 -3.369
-1.011 -9.523 0.846
-5.025 4.180 7.050
In Br K
4 6 2
Direct
0.500 0.145 0.145
0.000 0.855 0.855
0.500 0.855 0.855
0.000 0.145 0.145
0.250 0.792 0.571
0.250 0.826 0.174
0.750 0.208 0.429
0.750 0.571 0.792
0.750 0.174 0.826
0.250 0.429 0.208
0.750 0.702 0.298
0.250 0.298 0.702
```


Model B:
A geometry-optimized KIn2Br3 structure, computed with PBE-GGA.

Its space group is I4/mmm, No. 139.

POSCAR file:
```
KIn2Br3
1.0
-2.360 2.360 10.041
2.360 -2.360 10.041
2.360 2.360 -10.041
Br In K
3 2 1
Direct
0.835 0.835 0.000
0.165 0.165 0.000
0.500 0.500 0.000
0.666 0.666 0.000
0.334 0.334 0.000
0.000 0.000 0.000
```


Stability verdict: model B, ahead by 194 meV per atom


Model A:
A geometry-optimized KInBr structure, computed with PBE-GGA.

Its space group is Fmm2, No. 42.

POSCAR file:
```
KInBr
1.0
7.445 -0.019 0.019
6.371 3.796 0.030
1.073 0.181 3.810
In K Br
1 1 1
Direct
0.334 0.334 0.666
0.637 0.637 0.363
0.029 0.029 0.971
```


Model B:
A geometry-optimized KInBr structure, computed with PBE-GGA.

Its space group is P3m1, No. 156.

POSCAR file:
```
KInBr
1.0
4.151 0.000 0.000
-2.075 3.595 0.000
0.000 0.000 7.357
Br K In
1 1 1
Direct
0.000 0.000 0.983
0.333 0.667 0.707
0.667 0.333 0.310
```


Model C:
A geometry-optimized KInBr structure, computed with PBE-GGA.

Its space group is Amm2, No. 38.

POSCAR file:
```
KInBr
1.0
-0.382 -3.871 1.192
3.032 2.364 1.707
-9.354 4.234 10.752
Br K In
2 2 2
Direct
0.433 0.867 0.500
0.576 0.152 0.000
0.250 0.500 0.854
0.250 0.500 0.146
0.578 0.157 0.329
0.578 0.157 0.671
```


Model D:
A geometry-optimized KInBr structure, computed with PBE-GGA.

Its space group is F-43m, No. 216.

POSCAR file:
```
KInBr
1.0
5.590 0.000 0.000
2.795 4.841 0.000
2.795 1.614 4.564
Br In K
1 1 1
Direct
0.750 0.750 0.750
0.000 0.000 0.000
0.500 0.500 0.500
```


Stability verdict: model A, ahead by 16 meV per atom


Model A:
A geometry-optimized KInBr2 structure, computed with PBE-GGA.

Its space group is R3m, No. 160.

POSCAR file:
```
KInBr2
1.0
4.619 0.000 0.000
2.309 4.000 0.000
2.309 1.333 8.165
K Br In
1 2 1
Direct
0.499 0.499 0.502
0.084 0.084 0.749
0.250 0.250 0.251
0.667 0.667 0.998
```


Model B:
A geometry-optimized KInBr2 structure, computed with PBE-GGA.

Its space group is R-3m, No. 166.

POSCAR file:
```
KInBr2
1.0
2.927 0.000 9.389
-1.464 2.535 9.389
-1.464 -2.535 9.389
In K Br
1 1 2
Direct
0.500 0.500 0.500
0.000 0.000 0.000
0.894 0.894 0.894
0.106 0.106 0.106
```


Stability verdict: model A, ahead by 240 meV per atom


Model A:
A geometry-optimized KInBr2 structure, computed with PBE-GGA.

Its space group is Cm, No. 8.

POSCAR file:
```
KInBr2
1.0
6.787 -0.009 -0.015
5.349 4.178 -0.015
0.006 0.002 4.981
Br In K
2 1 1
Direct
0.732 0.732 0.626
0.001 0.001 0.123
0.502 0.502 0.625
0.265 0.265 0.126
```


Model B:
A geometry-optimized KInBr2 structure, computed with PBE-GGA.

Its space group is R-3m, No. 166.

POSCAR file:
```
KInBr2
1.0
-3.746 -7.160 -1.508
0.490 -8.199 0.335
-3.081 -6.928 3.175
Br In K
2 1 1
Direct
0.499 0.499 0.499
0.001 0.001 0.001
0.250 0.250 0.250
0.750 0.750 0.750
```


Model C:
A geometry-optimized KInBr2 structure, computed with PBE-GGA.

Its space group is I-42d, No. 122.

POSCAR file:
```
KInBr2
1.0
-1.903 6.209 3.321
-5.710 0.652 -4.491
-8.139 -0.535 4.347
K Br In
2 4 2
Direct
0.250 0.750 0.500
0.500 0.500 0.000
0.875 0.878 0.750
0.122 0.625 0.250
0.628 0.125 0.250
0.375 0.372 0.750
0.000 0.000 0.000
0.750 0.250 0.500
```


Stability verdict: model B, ahead by 12 meV per atom


Model A:
A geometry-optimized K2InBr5 structure, computed with PBE-GGA.

Its space group is Pnnm, No. 58.

POSCAR file:
```
K2InBr5
1.0
9.549 0.000 0.000
0.000 12.945 0.000
0.000 0.000 13.674
K Br In
8 20 4
Direct
0.274 0.500 0.500
0.226 0.000 0.000
0.500 0.633 0.839
0.774 0.000 0.000
0.500 0.367 0.161
0.726 0.500 0.500
0.000 0.867 0.339
0.000 0.133 0.661
0.500 0.385 0.910
0.784 0.213 0.162
0.000 0.426 0.340
0.500 0.379 0.382
0.000 0.121 0.882
0.784 0.787 0.838
0.000 0.885 0.590
0.716 0.287 0.662
0.500 0.615 0.090
0.284 0.287 0.662
0.500 0.926 0.160
0.216 0.787 0.838
0.000 0.115 0.410
0.000 0.879 0.118
0.500 0.621 0.618
0.284 0.713 0.338
0.500 0.074 0.840
0.716 0.713 0.338
0.216 0.213 0.162
0.000 0.574 0.660
0.000 0.244 0.267
0.000 0.756 0.733
0.500 0.256 0.767
0.500 0.744 0.233
```


Model B:
A geometry-optimized K2InBr5 structure, computed with PBE-GGA.

Its space group is I4mm, No. 107.

POSCAR file:
```
K2InBr5
1.0
-2.409 7.730 -0.589
-5.426 -1.238 5.910
7.195 -1.972 0.619
Br In K
5 1 2
Direct
0.255 0.800 0.055
0.255 0.255 0.054
0.707 0.707 0.414
0.800 0.255 0.055
0.800 0.800 0.056
0.972 0.972 0.943
0.744 0.244 0.488
0.244 0.744 0.488
```


Stability verdict: model B, ahead by 15 meV per atom


Model A:
A geometry-optimized KInSeBr2 structure, computed with PBE-GGA.

Its space group is P4/mmm, No. 123.

POSCAR file:
```
KInSeBr2
1.0
6.135 0.000 0.000
0.000 6.135 0.000
0.000 0.000 5.978
Se K Br In
1 1 2 1
Direct
0.000 0.000 0.500
0.000 0.000 0.000
0.000 0.500 0.000
0.500 0.000 0.000
0.500 0.500 0.500
```


Model B:
A geometry-optimized KInSeBr2 structure, computed with PBE-GGA.

Its space group is P4/mmm, No. 123.

POSCAR file:
```
KInSeBr2
1.0
5.673 0.000 0.000
0.000 5.673 0.000
0.000 0.000 5.243
Br Se In K
2 1 1 1
Direct
0.000 0.500 0.000
0.500 0.000 0.000
0.000 0.000 0.500
0.000 0.000 0.000
0.500 0.500 0.500
```


Stability verdict: model B, ahead by 667 meV per atom


Model A:
A geometry-optimized LaInBr4 structure, computed with PBE-GGA.

Its space group is F-43m, No. 216.

POSCAR file:
```
LaInBr4
1.0
6.248 -1.336 -0.027
2.001 -5.892 -1.451
3.013 -1.080 -5.530
Br In La
4 1 1
Direct
0.375 0.375 0.876
0.375 0.876 0.375
0.876 0.375 0.375
0.375 0.375 0.375
0.750 0.750 0.750
0.000 0.000 0.000
```


Model B:
A geometry-optimized LaInBr4 structure, computed with PBE-GGA.

Its space group is C2/m, No. 12.

POSCAR file:
```
LaInBr4
1.0
4.499 0.000 0.837
1.964 9.427 1.954
0.073 0.812 12.119
Br In La
8 2 2
Direct
0.666 0.216 0.953
0.334 0.784 0.047
0.548 0.072 0.332
0.835 0.284 0.547
0.165 0.716 0.453
0.452 0.928 0.668
0.952 0.428 0.168
0.048 0.572 0.832
0.750 0.750 0.250
0.250 0.250 0.750
0.500 0.500 0.000
0.000 0.000 0.500
```


Stability verdict: model B, ahead by 1189 meV per atom


Model A:
A geometry-optimized LaIn3Br structure, computed with PBE-GGA.

Its space group is Pm-3m, No. 221.

POSCAR file:
```
LaIn3Br
1.0
-4.465 -2.183 2.606
-0.424 -3.910 -4.003
3.373 -3.382 2.946
In La Br
3 1 1
Direct
0.000 0.000 0.500
0.000 0.500 0.000
0.500 0.000 0.000
0.500 0.500 0.500
0.000 0.000 0.000
```


Model B:
A geometry-optimized LaIn3Br structure, computed with PBE-GGA.

Its space group is Pm-3m, No. 221.

POSCAR file:
```
LaIn3Br
1.0
-0.034 -3.608 -5.140
6.117 -1.184 0.791
-1.424 -5.002 3.521
Br La In
1 1 3
Direct
0.500 0.500 0.500
0.000 0.000 0.000
0.000 0.000 0.500
0.000 0.500 0.000
0.500 0.000 0.000
```


Stability verdict: model A, ahead by 362 meV per atom